[1]
DFT (PBE) results for Te6SeBr2 after structural relaxation.

formation energy without anion corrections = 0.0081 eV per atom
magnetic moment = 0.0 μB per formula unit
SG = C2/c (15)

a b c (Å): 14.0426 8.1751 14.0419
angles (deg): 45.32 55.05 45.32
Positions (direct):
Se 0.9458 0.7500 0.0542
Te 0.2431 0.9094 0.7620
Te 0.7620 0.4094 0.2431
Br 0.2635 0.3932 0.3466
Se 0.0542 0.2500 0.9458
Br 0.6534 0.1068 0.7365
Te 0.8149 0.3052 0.9550
Te 0.5907 0.4219 0.9052
Te 0.2380 0.5906 0.7569
Te 0.1851 0.6948 0.0450
Te 0.7569 0.0906 0.2380
Te 0.0450 0.1948 0.1851
Te 0.9550 0.8052 0.8149
Te 0.0948 0.0781 0.4093
Te 0.4093 0.5781 0.0948
Br 0.7365 0.6068 0.6534
Te 0.9052 0.9219 0.5907
Br 0.3466 0.8932 0.2635

---

[2]
DFT (PBE) results for U2Co3NiGe4 after structural relaxation.

formation energy from the elements = -3.60 eV/f.u.
magnetic moment = 3.3 μB per formula unit
SG = P-4m2 (115)

a b c (Å): 4.0210 4.0210 9.6550
angles (deg): 90.00 90.00 90.00
Each line ends with the local moment (μB).
Positions (direct):
U 0.0000 0.5000 0.7495  1.35
Ge 0.0000 0.5000 0.3679  -0.01
Ge 0.5000 0.0000 0.6321  -0.01
Co 0.0000 0.5000 0.1302  -0.23
Ge 0.5000 0.5000 0.0000  0.00
Co 0.0000 0.0000 0.5000  0.72
Ni 0.5000 0.5000 0.5000  0.28
U 0.5000 0.0000 0.2505  1.35
Co 0.5000 0.0000 0.8698  -0.23
Ge 0.0000 0.0000 0.0000  -0.01

---

[3]
DFT (PBE) results for CeSmSi after structural relaxation.

formation energy without anion corrections = -0.2265 eV per atom
magnetic moment = 0.7 μB per formula unit
SG = P3m1 (156)

a b c (Å): 4.0643 4.6600 4.6600
angles (deg): 120.00 90.00 90.00
Each line ends with the local moment (μB).
Positions (direct):
Sm 0.7160 0.3333 0.6667  0.05
Ce 0.2949 0.6667 0.3333  0.60
Si 0.9891 0.0000 0.0000  -0.01

---

[4]
DFT (PBE) results for Ca2Mg5Tl3 after structural relaxation.

formation energy from the elements = -1.24 eV/f.u.
magnetic moment = 0.0 μB per formula unit
SG = Ibam (72)

a b c (Å): 6.3841 9.8083 9.8083
angles (deg): 87.22 71.01 71.01
Positions (direct):
Tl 0.6287 0.5160 0.2267
Mg 0.6172 0.7351 0.0305
Mg 0.3828 0.2649 0.9695
Mg 0.2500 0.5000 0.5000
Tl 0.2500 0.0000 0.0000
Ca 0.1286 0.6065 0.1363
Tl 0.7500 0.0000 0.0000
Mg 0.0022 0.2478 0.2478
Tl 0.8713 0.7733 0.4840
Mg 0.7500 0.5000 0.5000
Tl 0.3713 0.4840 0.7733
Mg 0.4978 0.7522 0.7522
Ca 0.8714 0.3935 0.8637
Ca 0.3714 0.8637 0.3935
Tl 0.1287 0.2267 0.5160
Ca 0.6286 0.1363 0.6065
Mg 0.8828 0.9695 0.2649
Mg 0.9978 0.7522 0.7522
Mg 0.1172 0.0305 0.7351
Mg 0.5022 0.2478 0.2478

---

[5]
DFT (PBE) results for GdTmZnIn after structural relaxation.

formation energy from the elements = -1.58 eV/f.u.
magnetic moment = 7.6 μB per formula unit
SG = F-43m (216)

a b c (Å): 5.1956 5.1956 5.1956
angles (deg): 60.00 60.00 60.00
Each line ends with the local moment (μB).
Positions (direct):
Zn 0.0000 0.0000 0.0000  0.01
In 0.5000 0.5000 0.5000  -0.04
Gd 0.7500 0.7500 0.7500  7.13
Tm 0.2500 0.2500 0.2500  0.16

---

[6]
DFT (PBE) results for NaPr2Th after structural relaxation.

formation energy from the elements = 0.27 eV/f.u.
magnetic moment = 0.0 μB per formula unit
SG = P4/mmm (123)

a b c (Å): 3.6442 3.6442 10.7332
angles (deg): 90.00 90.00 90.00
Positions (direct):
Pr 0.0000 0.0000 0.7737
Th 0.5000 0.5000 0.0000
Na 0.5000 0.5000 0.5000
Pr 0.0000 0.0000 0.2263